Material: CsTb2AgI8
Method: DFT, PBE-GGA
State: optimized geometry

Properties
raw formation energy = -14.1 eV per formula unit
electronic total energy = -3.29 eV/atom
total magnetic moment = 0.000 μB/cell
DOS at the Fermi energy = 0.0000 states/eV per atom

extended XYZ file:
```
12
Lattice="4.039 2.332 9.556 -4.039 2.332 9.556 0.000 -4.664 9.556" Properties=species:S:1:pos:R:3 pbc="T T T"
Cs 0.000 0.000 0.000
Tb 0.000 0.000 5.649
Tb 0.000 0.000 23.020
Ag 0.000 0.000 14.335
I -2.705 0.448 12.910
I -1.740 -2.118 15.760
I 0.000 0.000 8.619
I 0.964 -2.566 12.910
I -0.964 2.566 15.760
I 0.000 0.000 20.050
I 1.740 2.118 12.910
I 2.705 -0.448 15.760
```


Material: TbSm2Sc
Method: DFT, PBE-GGA
State: optimized geometry

Properties
electronic total energy = -4.98 eV/atom
calculated formation energy = 119.3 meV/atom
total magnetic moment = 0.018 μB/cell
DOS at the Fermi energy = 1.7447 states/eV per atom
polymorph energy (0 for the lowest one) = 0.080 eV per atom

extended XYZ file:
```
16
Lattice="7.917 0.000 0.000 0.000 7.917 0.000 0.000 0.000 7.917" Properties=species:S:1:pos:R:3 pbc="T T T"
Tb 0.000 0.000 0.000
Tb 0.000 3.959 3.959
Tb 3.959 0.000 3.959
Tb 3.959 3.959 0.000
Sm 1.979 1.979 1.979
Sm 1.979 1.979 5.938
Sm 1.979 5.938 1.979
Sm 1.979 5.938 5.938
Sm 5.938 1.979 1.979
Sm 5.938 1.979 5.938
Sm 5.938 5.938 1.979
Sm 5.938 5.938 5.938
Sc 0.000 0.000 3.959
Sc 0.000 3.959 0.000
Sc 3.959 0.000 0.000
Sc 3.959 3.959 3.959
```


Material: Ni2CS
Method: DFT, PBE-GGA
State: optimized geometry

Properties
raw formation energy = 0.6 eV per formula unit
electronic total energy = -6.08 eV/atom
total magnetic moment = 0.000 μB/cell
DOS at the Fermi energy = 0.4622 states/eV per atom
polymorph energy (0 for the lowest one) = 0.027 eV per atom

extended XYZ file:
```
8
Lattice="3.831 0.000 0.000 -0.524 5.072 0.000 -0.943 -2.382 4.970" Properties=species:S:1:pos:R:3 pbc="T T T"
Ni 0.000 0.000 0.000
Ni -0.788 0.070 4.119
Ni 1.146 -0.162 2.376
Ni 2.403 3.055 2.490
C 0.346 -1.428 3.844
C 1.705 -1.384 3.881
S 1.376 3.699 0.563
S 3.097 1.057 2.053
```


Material: CsKSi2
Method: DFT, PBE-GGA
State: optimized geometry

Properties
raw formation energy = 0.3 eV per formula unit
electronic total energy = -3.12 eV/atom
total magnetic moment = 0.000 μB/cell
DOS at the Fermi energy = 0.2897 states/eV per atom
polymorph energy (0 for the lowest one) = 0.000 eV per atom

extended XYZ file:
```
8
Lattice="4.017 0.000 0.000 0.000 7.197 0.000 -1.998 0.000 10.444" Properties=species:S:1:pos:R:3 pbc="T T T"
Cs 0.006 1.799 2.341
Cs 2.014 5.398 8.104
K 0.005 1.799 8.037
K 2.014 5.398 2.407
Si 0.005 4.194 4.899
Si 0.005 6.602 4.899
Si 2.014 0.596 5.546
Si 2.014 3.003 5.546
```


Material: LiY2OsO
Method: DFT, PBE-GGA
State: optimized geometry

Properties
raw formation energy = -5.9 eV per formula unit
electronic total energy = -7.38 eV/atom
total magnetic moment = 0.000 μB/cell
DOS at the Fermi energy = 0.6448 states/eV per atom

extended XYZ file:
```
5
Lattice="4.794 0.000 0.000 0.000 4.794 0.000 0.000 0.000 3.679" Properties=species:S:1:pos:R:3 pbc="T T T"
Li 0.000 0.000 0.000
Y 0.000 2.397 1.839
Y 2.397 0.000 1.839
Os 2.397 2.397 0.000
O 0.000 0.000 1.839
```


Material: PmAl5Ni
Method: DFT, PBE-GGA
State: optimized geometry

Properties
electronic total energy = -4.61 eV/atom
calculated formation energy = -432.5 meV/atom
total magnetic moment = 0.000 μB/cell
DOS at the Fermi energy = 0.3771 states/eV per atom

extended XYZ file:
```
7
Lattice="4.262 0.000 0.000 0.000 4.262 0.000 0.000 0.000 6.930" Properties=species:S:1:pos:R:3 pbc="T T T"
Pm 0.000 0.000 0.000
Al 0.000 2.131 2.150
Al 0.000 2.131 4.780
Al 2.131 0.000 2.150
Al 2.131 0.000 4.780
Al 2.131 2.131 0.000
Ni 0.000 0.000 3.465
```


Material: ThScRh4
Method: DFT, PBE-GGA
State: optimized geometry

Properties
electronic total energy = -7.77 eV/atom
calculated formation energy = -581.5 meV/atom
total magnetic moment = 0.000 μB/cell
DOS at the Fermi energy = 0.8768 states/eV per atom
polymorph energy (0 for the lowest one) = 0.136 eV per atom

extended XYZ file:
```
12
Lattice="9.436 0.000 0.000 0.000 3.728 0.000 -2.409 0.000 5.996" Properties=species:S:1:pos:R:3 pbc="T T T"
Th 0.000 0.000 0.000
Th 4.718 1.864 0.000
Sc -1.205 0.000 2.998
Sc 3.513 1.864 2.998
Rh 0.655 1.864 2.138
Rh -0.326 1.864 4.867
Rh 2.635 0.000 1.129
Rh 1.654 0.000 3.858
Rh 5.372 0.000 2.138
Rh 4.392 0.000 4.867
Rh 7.352 1.864 1.129
Rh 6.372 1.864 3.858
```


Material: ErFe12Si6
Method: DFT, PBE-GGA
State: optimized geometry

Properties
raw formation energy = -4.4 eV per formula unit
electronic total energy = -7.53 eV/atom
total magnetic moment = 20.399 μB/cell
DOS at the Fermi energy = 1.0344 states/eV per atom

extended XYZ file:
```
19
Lattice="5.195 3.000 2.640 -5.195 3.000 2.640 0.000 -5.999 2.640" Properties=species:S:1:pos:R:3 pbc="T T T"
Er 0.000 0.000 0.000
Fe -1.970 -3.412 3.960
Fe -3.939 0.000 3.960
Fe -1.381 -0.797 2.701
Fe 1.381 -0.797 2.701
Fe 0.000 1.595 2.701
Fe 1.970 -3.412 3.960
Fe -1.970 3.412 3.960
Fe 0.000 -1.595 5.218
Fe -1.381 0.797 5.218
Fe 1.381 0.797 5.218
Fe 3.939 0.000 3.960
Fe 1.970 3.412 3.960
Si 0.000 -2.773 3.193
Si -2.402 1.387 3.193
Si -2.402 -1.387 4.726
Si 2.402 1.387 3.193
Si 2.402 -1.387 4.726
Si 0.000 2.773 4.726
```